! NaVTe2O6, optimized geometry, DFT PBE+U; values from VASP
! size of the total moment	0.000	μB/f.u.
! E	-5.79	eV/atom
&SYSTEM
  ibrav = 0, nat = 20, ntyp = 4
/
ATOMIC_SPECIES
Na 22.99 Na.upf
V 50.94 V.upf
Te 127.60 Te.upf
O 16.00 O.upf
ATOMIC_POSITIONS angstrom
Na 4.185 5.454 4.202
Na 4.910 -5.454 1.401
V 4.910 3.408 1.401
V 4.185 -3.408 4.202
Te 2.683 1.285 4.023
Te 3.408 -1.285 1.222
Te 5.687 1.285 4.381
Te 6.412 -1.285 1.579
O 3.782 4.452 2.171
O 4.149 2.403 0.158
O 6.038 4.452 0.630
O 2.696 0.223 2.133
O 1.971 -0.223 4.935
O 5.672 2.403 2.643
O 3.424 -2.403 2.959
O 7.124 0.223 0.668
O 6.399 -0.223 3.469
O 3.057 -4.452 4.973
O 4.947 -2.403 5.445
O 5.313 -4.452 3.431
CELL_PARAMETERS angstrom
5.273 -5.997 0.000
5.273 5.997 0.000
-1.450 0.000 5.603